[1]
Compound: Tl2CrIn
Source: the Alexandria database
Functional: PBE-GGA
Structure: relaxed

Output
The value obtained for the theoretical density is 9.6 g cm⁻³. The energy relative to the lowest polymorph listed for this composition comes out at 104 meV/atom. Its total energy is -15.4 eV for the cell shown. As for the density of states at the Fermi level: 2.33 states/eV/f.u.

abc: 5.7639 5.7639 5.7639
angles: 133.29 133.29 68.20
Last column: nearest neighbours and their distance in Å.
Fractional coordinates of all 4 atoms:
Tl (0.0000, 0.0000, 0.0000)  4 In 3.23, 4 Tl 3.30, 4 Cr 3.30
Tl (0.7500, 0.2500, 0.5000)  4 Cr 3.23, 4 In 3.30, 4 Tl 3.30
Cr (0.2500, 0.7500, 0.5000)  8 Tl 3.23-3.30, 4 In 3.30
In (0.5000, 0.5000, 0.0000)  8 Tl 3.23-3.30, 4 Cr 3.30



[2]
Compound: LuThGa
Source: the Alexandria database
Functional: PBE-GGA
Structure: relaxed

Output
The value obtained for the theoretical density is 9.7 g cm⁻³. The energy relative to the lowest polymorph listed for this composition comes out at 119 meV/atom. Its total energy is -15.5 eV for the cell shown. As for the density of states at the Fermi level: 1.64 states/eV/f.u.

abc: 4.8233 4.8233 4.0410
angles: 90.00 90.00 120.00
Last column: nearest neighbours and their distance in Å.
Fractional coordinates of all 3 atoms:
Lu (0.0000, 0.0000, 0.0000)  3 Ga 2.79
Th (0.3333, 0.6667, 0.4965)  6 Ga 3.41-3.47, 6 Lu 3.43-3.45
Ga (0.6667, 0.3333, 0.9823)  3 Lu 2.79



[3]
Compound: Tb3Pm8Sm
Source: the Alexandria database
Functional: PBE-GGA
Structure: relaxed

Output
The value obtained for the theoretical density is 7.3 g cm⁻³. Its total energy is -56.3 eV for the cell shown. As for the density of states at the Fermi level: 20.82 states/eV/f.u.

abc: 8.6208 8.6208 10.9929
angles: 129.51 129.51 43.28
Last column: nearest neighbours and their distance in Å.
Fractional coordinates of all 12 atoms:
Tb (0.0000, 0.0000, 0.0000)  2 Tb 3.58, 10 Pm 3.60-3.68
Tb (0.4230, 0.0781, 0.7504)  1 Tb 3.58, 1 Sm 3.59, 10 Pm 3.60-3.68
Tb (0.9219, 0.5770, 0.2496)  1 Tb 3.58, 1 Sm 3.59, 10 Pm 3.60-3.68
Pm (0.0029, 0.9973, 0.3343)  7 Pm 3.61-3.69, 3 Tb 3.61-3.67, 2 Sm 3.65-3.68
Pm (0.0027, 0.9971, 0.6657)  7 Pm 3.61-3.69, 3 Tb 3.61-3.67, 2 Sm 3.65-3.68
Pm (0.4194, 0.0789, 0.4151)  7 Pm 3.60-3.68, 4 Tb 3.61-3.68, 1 Sm 3.62
Pm (0.4198, 0.0788, 0.0833)  7 Pm 3.60-3.68, 4 Tb 3.60-3.68, 1 Sm 3.62
Pm (0.5036, 0.4960, 0.1650)  4 Tb 3.60-3.68, 7 Pm 3.60-3.69, 1 Sm 3.68
Pm (0.5040, 0.4964, 0.8350)  4 Tb 3.60-3.68, 7 Pm 3.60-3.69, 1 Sm 3.68
Pm (0.9212, 0.5802, 0.9167)  7 Pm 3.60-3.68, 4 Tb 3.60-3.68, 1 Sm 3.62
Pm (0.9211, 0.5806, 0.5849)  7 Pm 3.60-3.68, 4 Tb 3.61-3.68, 1 Sm 3.62
Sm (0.4996, 0.5004, 0.5000)  2 Tb 3.59, 10 Pm 3.62-3.68



[4]
Compound: NdErSc4
Source: the Alexandria database
Functional: PBE-GGA
Structure: relaxed

Output
The value obtained for the theoretical density is 4.6 g cm⁻³. The energy relative to the lowest polymorph listed for this composition comes out at 167 meV/atom. Its total energy is -33.3 eV for the cell shown. As for the density of states at the Fermi level: 12.85 states/eV/f.u.

abc: 6.2984 6.2984 6.2984
angles: 60.00 60.00 60.00
Last column: nearest neighbours and their distance in Å.
Fractional coordinates of all 6 atoms:
Nd (0.0000, 0.0000, 0.0000)  12 Sc 3.69, 4 Er 3.86
Er (0.7500, 0.7500, 0.7500)  12 Sc 3.69, 4 Nd 3.86
Sc (0.3749, 0.3749, 0.3749)  6 Sc 3.15
Sc (0.3749, 0.3749, 0.8753)  6 Sc 3.15
Sc (0.3749, 0.8753, 0.3749)  6 Sc 3.15
Sc (0.8753, 0.3749, 0.3749)  6 Sc 3.15



[5]
Compound: Pm5Er12Th2
Source: the Alexandria database
Functional: PBE-GGA
Structure: relaxed

Output
The value obtained for the theoretical density is 8.6 g cm⁻³. The energy relative to the lowest polymorph listed for this composition comes out at 0 meV/atom. Its total energy is -91.0 eV for the cell shown. As for the density of states at the Fermi level: 30.54 states/eV/f.u.

abc: 6.0617 9.6670 11.2600
angles: 69.85 82.62 89.00
Last column: nearest neighbours and their distance in Å.
Fractional coordinates of all 19 atoms:
Pm (0.0000, 0.0000, 0.0000)  6 Er 3.20-3.44
Pm (0.1044, 0.9581, 0.3455)  8 Er 3.35-3.75
Pm (0.4977, 0.4526, 0.1667)  8 Er 3.39-3.65, 1 Th 3.51, 1 Pm 3.54
Pm (0.5023, 0.5474, 0.8333)  8 Er 3.39-3.65, 1 Th 3.51, 1 Pm 3.54
Pm (0.8956, 0.0419, 0.6545)  8 Er 3.35-3.75
Er (0.0408, 0.6811, 0.6609)  2 Th 3.41-3.51, 5 Er 3.41-3.76, 4 Pm 3.56-3.61
Er (0.0636, 0.3165, 0.0349)  2 Pm 3.25-3.52, 4 Er 3.41-3.50
Er (0.1770, 0.3170, 0.7221)  4 Er 3.28-3.51, 3 Th 3.35-3.52, 3 Pm 3.53-3.62
Er (0.3804, 0.9094, 0.7856)  4 Pm 3.35-3.48, 5 Er 3.43-3.55
Er (0.4240, 0.8182, 0.1040)  2 Pm 3.20-3.39, 4 Er 3.28-3.55, 1 Th 3.58
Er (0.4284, 0.1884, 0.4830)  6 Er 3.46-3.63, 2 Th 3.53-3.59, 4 Pm 3.57-3.81
Er (0.5716, 0.8116, 0.5170)  6 Er 3.46-3.63, 2 Th 3.53-3.59, 4 Pm 3.57-3.81
Er (0.5760, 0.1818, 0.8960)  2 Pm 3.20-3.39, 4 Er 3.28-3.55, 1 Th 3.58
Er (0.6196, 0.0906, 0.2144)  4 Pm 3.35-3.48, 5 Er 3.43-3.55
Er (0.8230, 0.6830, 0.2779)  4 Er 3.28-3.51, 3 Th 3.35-3.52, 3 Pm 3.53-3.62
Er (0.9364, 0.6835, 0.9651)  2 Pm 3.25-3.52, 4 Er 3.41-3.50
Er (0.9592, 0.3189, 0.3391)  2 Th 3.41-3.51, 5 Er 3.41-3.76, 4 Pm 3.56-3.61
Th (0.2758, 0.5645, 0.4218)  8 Er 3.35-3.59, 2 Th 3.41-3.60, 1 Pm 3.51
Th (0.7242, 0.4355, 0.5782)  8 Er 3.35-3.59, 2 Th 3.41-3.60, 1 Pm 3.51



[6]
Compound: AlRe2W
Source: the Alexandria database
Functional: PBE-GGA
Structure: relaxed

Output
The value obtained for the theoretical density is 16.1 g cm⁻³. Its total energy is -42.0 eV for the cell shown. As for the density of states at the Fermi level: 2.47 states/eV/f.u.

abc: 3.1361 3.1361 6.1013
angles: 90.00 90.00 90.00
Last column: nearest neighbours and their distance in Å.
Fractional coordinates of all 4 atoms:
Al (0.0000, 0.0000, 0.0000)  8 Re 2.68
Re (0.5000, 0.5000, 0.2474)  4 Al 2.68, 4 W 2.70
Re (0.5000, 0.5000, 0.7526)  4 Al 2.68, 4 W 2.70
W (0.0000, 0.0000, 0.5000)  8 Re 2.70



[7]
Compound: LiSnPdPb
Source: the Alexandria database
Functional: PBE-GGA
Structure: relaxed

Output
The value obtained for the theoretical density is 8.9 g cm⁻³. Its total energy is -16.0 eV for the cell shown. As for the density of states at the Fermi level: 1.83 states/eV/f.u.

abc: 4.8717 4.8717 4.8717
angles: 60.00 60.00 60.00
Last column: nearest neighbours and their distance in Å.
Fractional coordinates of all 4 atoms:
Li (0.0000, 0.0000, 0.0000)  4 Sn 2.98, 4 Pb 2.98
Sn (0.7500, 0.7500, 0.7500)  4 Pd 2.98, 4 Li 2.98
Pd (0.5000, 0.5000, 0.5000)  4 Sn 2.98, 4 Pb 2.98
Pb (0.2500, 0.2500, 0.2500)  4 Pd 2.98, 4 Li 2.98



[8]
Compound: YScO2F
Source: the Alexandria database
Functional: PBE-GGA
Structure: relaxed

Output
The value obtained for the theoretical density is 4.5 g cm⁻³. Its total energy is -38.9 eV for the cell shown. As for the density of states at the Fermi level: 2.60 states/eV/f.u. The formation energy without anion corrections is -2.868 eV per atom.

abc: 4.1072 4.1072 4.0316
angles: 90.00 90.00 90.00
Last column: nearest neighbours and their distance in Å.
Fractional coordinates of all 5 atoms:
Y (0.0000, 0.0000, 0.0000)  8 O 2.88, 4 F 2.90
Sc (0.5000, 0.5000, 0.5000)  2 F 2.02, 4 O 2.05
O (0.0000, 0.5000, 0.5000)  2 Sc 2.05
O (0.5000, 0.0000, 0.5000)  2 Sc 2.05
F (0.5000, 0.5000, 0.0000)  2 Sc 2.02